# K2AlH (meta-GGA SCAN, PBEsol geometry)
data_K2AlH
_chemical_formula_sum 'K8 Al4 H4'
_cell_length_a 7.9788
_cell_length_b 7.9788
_cell_length_c 7.9788
_cell_angle_alpha 90.00
_cell_angle_beta 90.00
_cell_angle_gamma 90.00
_symmetry_space_group_name_H-M 'F m -3 m'
_symmetry_Int_Tables_number 225
_symmetry_space_group_name_Hall '-F 4 2 3'
loop_
_atom_site_label
_atom_site_type_symbol
_atom_site_fract_x
_atom_site_fract_y
_atom_site_fract_z
K1 K 0.2500 0.2500 0.2500
Al1 Al 0.0000 0.0000 0.0000
H1 H 0.0000 0.0000 0.5000
# Crystal system: cubic
# M_tot: 7.801 μB per cell
# Raw total energy: -6.362 eV per atom

# KNa3Al12H24S8O56 (meta-GGA SCAN, PBEsol geometry)
data_KNa3Al12H24S8O56
_chemical_formula_sum 'K1 Na3 Al12 H24 S8 O56'
_cell_length_a 11.7738
_cell_length_b 6.9809
_cell_length_c 12.0912
_cell_angle_alpha 90.00
_cell_angle_beta 110.02
_cell_angle_gamma 90.00
_symmetry_space_group_name_H-M 'P 1 2/m 1'
_symmetry_Int_Tables_number 10
_symmetry_space_group_name_Hall '-P 2y'
loop_
_atom_site_label
_atom_site_type_symbol
_atom_site_fract_x
_atom_site_fract_y
_atom_site_fract_z
K1 K 0.0000 0.0000 0.0000
Na1 Na 0.0000 0.5000 0.5000
Na2 Na 0.5000 0.0000 0.5000
Na3 Na 0.5000 0.5000 0.0000
Al1 Al 0.2503 0.2499 0.5001
Al2 Al 0.2512 0.5000 0.7503
Al3 Al 0.2537 0.0000 0.2517
Al4 Al 0.2546 0.2505 0.0013
H1 H 0.1674 0.5000 0.3565
H2 H 0.1680 0.2014 0.6558
H3 H 0.1713 0.2990 0.1565
H4 H 0.1719 0.0000 0.8582
H5 H 0.3313 0.0000 0.6435
H6 H 0.3329 0.2006 0.8437
H7 H 0.3334 0.2997 0.3454
H8 H 0.3349 0.5000 0.1446
S1 S 0.0386 0.0000 0.3458
S2 S 0.0403 0.5000 0.8472
S3 S 0.4628 0.5000 0.6537
S4 S 0.4659 0.0000 0.1558
O1 O 0.0825 0.1742 0.4188
O2 O 0.0835 0.5000 0.7451
O3 O 0.0851 0.0000 0.2459
O4 O 0.0861 0.3263 0.9201
O5 O 0.0926 0.5000 0.1958
O6 O 0.0944 0.0000 0.6998
O7 O 0.2072 0.3116 0.6320
O8 O 0.2068 0.5000 0.4431
O9 O 0.2135 0.0000 0.9446
O10 O 0.2130 0.1903 0.1344
O11 O 0.2930 0.0000 0.5567
O12 O 0.2951 0.1883 0.3695
O13 O 0.2957 0.3122 0.8688
O14 O 0.2980 0.5000 0.0576
O15 O 0.4010 0.0000 0.7995
O16 O 0.4042 0.5000 0.3023
O17 O 0.4181 0.3259 0.5810
O18 O 0.4186 0.5000 0.7551
O19 O 0.4214 0.0000 0.2570
O20 O 0.4219 0.1741 0.0830
# Crystal system: monoclinic
# M_tot: 0.000 μB per cell
# Raw total energy: -8.035 eV per atom

# KAl2P2H5O11 (meta-GGA SCAN, PBEsol geometry)
data_KAl2P2H5O11
_chemical_formula_sum 'K4 Al8 P8 H20 O44'
_cell_length_a 9.4471
_cell_length_b 9.3610
_cell_length_c 11.8249
_cell_angle_alpha 90.00
_cell_angle_beta 128.36
_cell_angle_gamma 90.00
_symmetry_space_group_name_H-M 'P 1 21/c 1'
_symmetry_Int_Tables_number 14
_symmetry_space_group_name_Hall '-P 2ybc'
loop_
_atom_site_label
_atom_site_type_symbol
_atom_site_fract_x
_atom_site_fract_y
_atom_site_fract_z
K1 K 0.1177 0.1939 0.0165
Al1 Al 0.2131 0.7225 0.4045
Al2 Al 0.4777 0.0498 0.6064
P1 P 0.1467 0.0250 0.2934
P2 P 0.3404 0.6796 0.2115
H1 H 0.1472 0.1417 0.7698
H2 H 0.3082 0.0877 0.7682
H3 H 0.3425 0.0266 0.9458
H4 H 0.4293 0.5286 0.6121
H5 H 0.4514 0.2041 0.4264
O1 O 0.0042 0.6184 0.3271
O2 O 0.0671 0.6223 0.7892
O3 O 0.2142 0.7311 0.0554
O4 O 0.2293 0.6645 0.2645
O5 O 0.2424 0.0912 0.4446
O6 O 0.2814 0.1460 0.8232
O7 O 0.2815 0.0039 0.2610
O8 O 0.3545 0.5557 0.5077
O9 O 0.4146 0.5277 0.2169
O10 O 0.4451 0.6394 0.0040
O11 O 0.4942 0.2236 0.6890
# Crystal system: monoclinic
# M_tot: 0.000 μB per cell
# Raw total energy: -8.477 eV per atom

# KAl3Si3H2O12 (meta-GGA SCAN, PBEsol geometry)
data_KAl3Si3H2O12
_chemical_formula_sum 'K4 Al12 Si12 H8 O48'
_cell_length_a 5.1856
_cell_length_b 8.9892
_cell_length_c 20.3574
_cell_angle_alpha 90.00
_cell_angle_beta 95.16
_cell_angle_gamma 90.00
_symmetry_space_group_name_H-M 'P 1 2/c 1'
_symmetry_Int_Tables_number 13
_symmetry_space_group_name_Hall '-P 2yc'
loop_
_atom_site_label
_atom_site_type_symbol
_atom_site_fract_x
_atom_site_fract_y
_atom_site_fract_z
K1 K 0.0000 0.0969 0.2500
K2 K 0.5000 0.3901 0.7500
Al1 Al 0.0397 0.2382 0.8659
Al2 Al 0.2474 0.0843 0.9993
Al3 Al 0.2515 0.4144 0.9989
Si1 Si 0.0433 0.4316 0.3661
Si2 Si 0.4452 0.2579 0.1328
Si3 Si 0.4793 0.0682 0.6345
H1 H 0.1374 0.1575 0.4445
H2 H 0.3801 0.3571 0.5701
O1 O 0.0383 0.4432 0.4464
O2 O 0.0453 0.0648 0.4512
O3 O 0.0939 0.4129 0.8308
O4 O 0.1235 0.2496 0.9507
O5 O 0.2348 0.1070 0.8314
O6 O 0.2406 0.3680 0.1657
O7 O 0.2570 0.3090 0.3446
O8 O 0.2848 0.1967 0.6550
O9 O 0.3919 0.2514 0.0533
O10 O 0.4031 0.0948 0.1657
O11 O 0.4560 0.4433 0.5498
O12 O 0.4659 0.0499 0.5538
# Crystal system: monoclinic
# M_tot: 0.001 μB per cell
# Raw total energy: -9.694 eV per atom